# V2HIrRu | Alexandria | PBE-GGA | optimized geometry
data_V2HIrRu
_cell_length_a 3.936
_cell_length_b 3.936
_cell_length_c 3.708
_cell_angle_alpha 90.00
_cell_angle_beta 90.00
_cell_angle_gamma 90.00
_space_group_name_H-M_alt 'P 1'
_space_group_IT_number 1
loop_
_space_group_symop_operation_xyz
'x,y,z'
loop_
_atom_site_label
_atom_site_fract_x
_atom_site_fract_y
_atom_site_fract_z
V1 0.000 0.500 0.000
V2 0.500 0.000 0.000
H1 0.000 0.000 0.000
Ir1 0.000 0.000 0.500
Ru1 0.500 0.500 0.500
# * space group: No. 123
# * E: -8.1746 eV/atom
# * energy above the most stable polymorph in this dataset: 50 meV/atom